# 1
This record from the Alexandria database describes a relaxed structure of H2PtRh. The functional is PBE-GGA.

## Properties
- Space-group type: No. 160
- N(E_F): 3.37 states/eV/f.u.
- Calculated total energy: -0.36147 Ry per atom
- ρ: 13.693 Mg/m³

Unit cell a=2.817 b=2.817 c=15.880 alpha=90.00 beta=90.00 gamma=120.00
Atoms (fractional coordinates):
H  0.000  0.000  0.000
H  0.000  0.000  0.218
H  0.333  0.667  0.667
H  0.333  0.667  0.884
H  0.667  0.333  0.333
H  0.667  0.333  0.551
Pt  0.000  0.000  0.785
Pt  0.333  0.667  0.452
Pt  0.667  0.333  0.118
Rh  0.000  0.000  0.611
Rh  0.333  0.667  0.277
Rh  0.667  0.333  0.944

---

# 2
This record from the Alexandria database describes a relaxed structure of RbPW2. The functional is PBE-GGA.

## Properties
- Space-group type: No. 122
- N(E_F): 3.82 states/eV/f.u.
- Calculated total energy: -0.49835 Ry per atom
- ρ: 7.530 Mg/m³

Unit cell a=4.955 b=4.955 c=17.395 alpha=90.00 beta=90.00 gamma=90.00
Atoms (fractional coordinates):
Rb  0.000  0.000  0.000
Rb  0.000  0.500  0.250
Rb  0.500  0.000  0.750
Rb  0.500  0.500  0.500
P  0.000  0.000  0.500
P  0.000  0.500  0.750
P  0.500  0.000  0.250
P  0.500  0.500  0.000
W  0.005  0.250  0.625
W  0.250  0.505  0.875
W  0.250  0.995  0.375
W  0.495  0.250  0.125
W  0.505  0.750  0.125
W  0.750  0.005  0.375
W  0.750  0.495  0.875
W  0.995  0.750  0.625

---

# 3
This record from the Alexandria database describes a relaxed structure of CuHg2Ir2S6. The functional is PBE-GGA.

## Properties
- Space-group type: No. 12
- N(E_F): 6.66 states/eV/f.u.
- Formation energy from raw total energies: -0.17 eV/atom
- Calculated total energy: -0.32775 Ry per atom
- ρ: 7.600 Mg/m³

Unit cell a=6.196 b=6.196 c=7.273 alpha=99.83 beta=99.83 gamma=119.88
Atoms (fractional coordinates):
Cu  0.000  0.000  0.000
Hg  0.179  0.821  0.500
Hg  0.821  0.179  0.500
Ir  0.333  0.667  0.000
Ir  0.667  0.333  0.000
S  0.071  0.432  0.188
S  0.252  0.252  0.831
S  0.432  0.071  0.188
S  0.568  0.929  0.812
S  0.748  0.748  0.169
S  0.929  0.568  0.812

---

# 4
This record from the Alexandria database describes a relaxed structure of Tb2Sm5Er3. The functional is PBE-GGA.

## Properties
- Space-group type: No. 15
- N(E_F): 19.09 states/eV/f.u.
- Calculated total energy: -0.32778 Ry per atom
- ρ: 7.827 Mg/m³

Unit cell a=9.352 b=9.352 c=9.713 alpha=108.41 beta=108.41 gamma=109.94
Atoms (fractional coordinates):
Tb  0.024  0.266  0.052
Tb  0.266  0.024  0.552
Tb  0.734  0.976  0.448
Tb  0.976  0.734  0.948
Sm  0.145  0.379  0.772
Sm  0.231  0.769  0.750
Sm  0.270  0.730  0.250
Sm  0.379  0.145  0.272
Sm  0.470  0.530  0.250
Sm  0.530  0.470  0.750
Sm  0.621  0.855  0.728
Sm  0.730  0.270  0.750
Sm  0.769  0.231  0.250
Sm  0.855  0.621  0.228
Er  0.025  0.975  0.750
Er  0.223  0.464  0.450
Er  0.464  0.223  0.950
Er  0.536  0.777  0.050
Er  0.777  0.536  0.550
Er  0.975  0.025  0.250

---

# 5
This record from the Alexandria database describes a relaxed structure of Na2Ga2Si. The functional is PBE-GGA.

## Properties
- Space-group type: No. 127
- N(E_F): 2.18 states/eV/f.u.
- Formation energy from raw total energies: 0.01 eV/atom
- Calculated total energy: -0.20686 Ry per atom
- ρ: 3.247 Mg/m³

Unit cell a=6.603 b=6.603 c=5.010 alpha=90.00 beta=90.00 gamma=90.00
Atoms (fractional coordinates):
Na  0.177  0.323  0.000
Na  0.323  0.823  0.000
Na  0.677  0.177  0.000
Na  0.823  0.677  0.000
Ga  0.137  0.637  0.500
Ga  0.363  0.137  0.500
Ga  0.637  0.863  0.500
Ga  0.863  0.363  0.500
Si  0.000  0.000  0.500
Si  0.500  0.500  0.500

---

# 6
This record from the Alexandria database describes a relaxed structure of BaPuSb2. The functional is PBE-GGA.

## Properties
- Space-group type: No. 123
- N(E_F): 13.00 states/eV/f.u.
- Formation energy from raw total energies: -0.66 eV/atom
- Calculated total energy: -0.49875 Ry per atom
- ρ: 8.148 Mg/m³

Unit cell a=3.839 b=3.839 c=8.641 alpha=90.00 beta=90.00 gamma=90.00
Atoms (fractional coordinates):
Ba  0.000  0.000  0.000
Pu  0.000  0.000  0.500
Sb  0.500  0.500  0.279
Sb  0.500  0.500  0.721

---

# 7
This record from the Alexandria database describes a relaxed structure of PmNdPdAu. The functional is PBE-GGA.

## Properties
- Space-group type: No. 38
- N(E_F): 2.91 states/eV/f.u.
- Calculated total energy: -0.39049 Ry per atom
- ρ: 9.687 Mg/m³

Unit cell a=4.747 b=3.900 c=10.975 alpha=90.00 beta=90.00 gamma=90.00
Atoms (fractional coordinates):
Pm  0.000  0.000  0.000
Pm  0.000  0.500  0.500
Nd  0.500  0.000  0.725
Nd  0.500  0.500  0.225
Pd  0.500  0.000  0.449
Pd  0.500  0.500  0.949
Au  0.000  0.000  0.280
Au  0.000  0.500  0.780

---

# 8
This record from the Alexandria database describes a relaxed structure of NdDyU2P4. The functional is PBE-GGA.

## Properties
- Space-group type: No. 10
- N(E_F): 9.25 states/eV/f.u.
- Calculated total energy: -0.58543 Ry per atom
- ρ: 8.246 Mg/m³

Unit cell a=6.901 b=3.984 c=7.028 alpha=90.00 beta=109.12 gamma=90.00
Atoms (fractional coordinates):
Nd  0.000  0.000  0.000
Dy  0.500  0.500  0.000
U  0.000  0.500  0.500
U  0.500  0.000  0.500
P  0.252  0.000  0.741
P  0.259  0.500  0.263
P  0.741  0.500  0.737
P  0.748  0.000  0.259